Hf6TcIr after structural relaxation. Source: the Alexandria database, functional PBE-GGA.

```
data_Hf6TcIr
_cell_length_a 5.5107
_cell_length_b 5.7741
_cell_length_c 7.3288
_cell_angle_alpha 47.98
_cell_angle_beta 67.51
_cell_angle_gamma 80.91
_space_group_name_H-M_alt 'P 1'
_space_group_IT_number 1
loop_
_space_group_symop_operation_xyz
'x,y,z'
loop_
_atom_site_label
_atom_site_type_symbol
_atom_site_fract_x
_atom_site_fract_y
_atom_site_fract_z
Hf1 Hf 0.2524 0.7452 0.7474
Hf2 Hf 0.8363 0.5729 0.6587
Hf3 Hf 0.1637 0.4271 0.3413
Hf4 Hf 0.3418 0.0677 0.1638
Hf5 Hf 0.6582 0.9323 0.8362
Hf6 Hf 0.7476 0.2548 0.2526
Tc1 Tc 0.5000 0.5000 0.5000
Ir1 Ir 0.0000 0.0000 0.0000
```

Values from the calculation:
* formation energy: -0.2566 eV per atom

***

HfTc2Ir2 after structural relaxation. Source: the Alexandria database, functional PBE-GGA.

```
data_HfTc2Ir2
_cell_length_a 7.5982
_cell_length_b 7.5982
_cell_length_c 2.7844
_cell_angle_alpha 90.00
_cell_angle_beta 90.00
_cell_angle_gamma 90.00
_space_group_name_H-M_alt 'P 1'
_space_group_IT_number 1
loop_
_space_group_symop_operation_xyz
'x,y,z'
loop_
_atom_site_label
_atom_site_type_symbol
_atom_site_fract_x
_atom_site_fract_y
_atom_site_fract_z
Tc1 Tc 0.6201 0.1201 0.0000
Ir1 Ir 0.8254 0.3254 0.5000
Tc2 Tc 0.3799 0.8799 0.0000
Tc3 Tc 0.8799 0.6201 0.0000
Ir2 Ir 0.6746 0.8254 0.5000
Ir3 Ir 0.3254 0.1746 0.5000
Hf1 Hf 0.5000 0.5000 0.0000
Hf2 Hf 0.0000 0.0000 0.0000
Ir4 Ir 0.1746 0.6746 0.5000
Tc4 Tc 0.1201 0.3799 0.0000
```

Values from the calculation:
* formation energy: -0.2326 eV per atom
* polymorph energy (0 for the lowest one): 0 meV per atom

***

Hf4TcIr after structural relaxation. Source: the Alexandria database, functional PBE-GGA.

```
data_Hf4TcIr
_cell_length_a 4.5215
_cell_length_b 4.5191
_cell_length_c 7.8491
_cell_angle_alpha 73.28
_cell_angle_beta 73.26
_cell_angle_gamma 59.98
_space_group_name_H-M_alt 'P 1'
_space_group_IT_number 1
loop_
_space_group_symop_operation_xyz
'x,y,z'
loop_
_atom_site_label
_atom_site_type_symbol
_atom_site_fract_x
_atom_site_fract_y
_atom_site_fract_z
Hf1 Hf 0.8739 0.8742 0.3780
Tc1 Tc 0.5000 0.5000 0.5000
Ir1 Ir 0.0000 0.0000 0.0000
Hf2 Hf 0.6241 0.6243 0.1275
Hf3 Hf 0.1261 0.1258 0.6220
Hf4 Hf 0.3759 0.3757 0.8725
```

Values from the calculation:
* formation energy: -0.3364 eV per atom

***

TmHfTcIr after structural relaxation. Source: the Alexandria database, functional PBE-GGA.

```
data_TmHfTcIr
_cell_length_a 4.6808
_cell_length_b 4.6808
_cell_length_c 4.6808
_cell_angle_alpha 60.00
_cell_angle_beta 60.00
_cell_angle_gamma 60.00
_space_group_name_H-M_alt 'P 1'
_space_group_IT_number 1
loop_
_space_group_symop_operation_xyz
'x,y,z'
loop_
_atom_site_label
_atom_site_type_symbol
_atom_site_fract_x
_atom_site_fract_y
_atom_site_fract_z
Tm1 Tm 0.2500 0.2500 0.2500
Hf1 Hf 0.7500 0.7500 0.7500
Tc1 Tc 0.5000 0.5000 0.5000
Ir1 Ir 0.0000 0.0000 0.0000
```

Values from the calculation:
* formation energy: -0.6435 eV per atom

***

HfVTcIr2 after structural relaxation. Source: the Alexandria database, functional PBE-GGA.

```
data_HfVTcIr2
_cell_length_a 4.7828
_cell_length_b 4.2976
_cell_length_c 4.7828
_cell_angle_alpha 90.00
_cell_angle_beta 90.00
_cell_angle_gamma 90.00
_space_group_name_H-M_alt 'P 1'
_space_group_IT_number 1
loop_
_space_group_symop_operation_xyz
'x,y,z'
loop_
_atom_site_label
_atom_site_type_symbol
_atom_site_fract_x
_atom_site_fract_y
_atom_site_fract_z
Ir1 Ir 0.0000 0.0000 0.5000
Tc1 Tc 0.0000 0.0000 0.0000
Hf1 Hf 0.5000 0.5000 0.5000
Ir2 Ir 0.5000 0.0000 0.0000
V1 V 0.0000 0.5000 0.0000
```

Values from the calculation:
* formation energy: 0.9100 eV per atom

***

HfVTcIr after structural relaxation. Source: the Alexandria database, functional PBE-GGA.

```
data_HfVTcIr
_cell_length_a 4.4622
_cell_length_b 4.4622
_cell_length_c 4.4622
_cell_angle_alpha 60.00
_cell_angle_beta 60.00
_cell_angle_gamma 60.00
_space_group_name_H-M_alt 'P 1'
_space_group_IT_number 1
loop_
_space_group_symop_operation_xyz
'x,y,z'
loop_
_atom_site_label
_atom_site_type_symbol
_atom_site_fract_x
_atom_site_fract_y
_atom_site_fract_z
V1 V 0.2500 0.2500 0.2500
Ir1 Ir 0.0000 0.0000 0.0000
Tc1 Tc 0.5000 0.5000 0.5000
Hf1 Hf 0.7500 0.7500 0.7500
```

Values from the calculation:
* formation energy: -0.5070 eV per atom

***

Hf2TeIr2 after structural relaxation. Source: the Alexandria database, functional PBE-GGA.

```
data_Hf2TeIr2
_cell_length_a 7.9196
_cell_length_b 7.9196
_cell_length_c 3.1030
_cell_angle_alpha 90.00
_cell_angle_beta 90.00
_cell_angle_gamma 90.00
_space_group_name_H-M_alt 'P 1'
_space_group_IT_number 1
loop_
_space_group_symop_operation_xyz
'x,y,z'
loop_
_atom_site_label
_atom_site_type_symbol
_atom_site_fract_x
_atom_site_fract_y
_atom_site_fract_z
Hf1 Hf 0.6545 0.8455 0.5000
Hf2 Hf 0.1545 0.6545 0.5000
Hf3 Hf 0.8455 0.3455 0.5000
Te1 Te 0.5000 0.5000 0.0000
Te2 Te 0.0000 0.0000 0.0000
Hf4 Hf 0.3455 0.1545 0.5000
Ir1 Ir 0.6345 0.1345 0.0000
Ir2 Ir 0.1345 0.3655 0.0000
Ir3 Ir 0.3655 0.8655 0.0000
Ir4 Ir 0.8655 0.6345 0.0000
```

Values from the calculation:
* formation energy from raw total energies: -0.687 eV per atom

***

HfTeIr3 after structural relaxation. Source: the Alexandria database, functional PBE-GGA.

```
data_HfTeIr3
_cell_length_a 4.8641
_cell_length_b 4.8641
_cell_length_c 4.8641
_cell_angle_alpha 90.00
_cell_angle_beta 90.00
_cell_angle_gamma 90.00
_space_group_name_H-M_alt 'P 1'
_space_group_IT_number 1
loop_
_space_group_symop_operation_xyz
'x,y,z'
loop_
_atom_site_label
_atom_site_type_symbol
_atom_site_fract_x
_atom_site_fract_y
_atom_site_fract_z
Ir1 Ir 0.0000 0.0000 0.5000
Ir2 Ir 0.0000 0.5000 0.0000
Hf1 Hf 0.0000 0.0000 0.0000
Te1 Te 0.5000 0.5000 0.5000
Ir3 Ir 0.5000 0.0000 0.0000
```

Values from the calculation:
* formation energy from raw total energies: 1.377 eV per atom
* polymorph energy (0 for the lowest one): 133 meV per atom

***

HfTeIr3 after structural relaxation. Source: the Alexandria database, functional PBE-GGA.

```
data_HfTeIr3
_cell_length_a 4.7984
_cell_length_b 4.7984
_cell_length_c 4.7984
_cell_angle_alpha 90.00
_cell_angle_beta 90.00
_cell_angle_gamma 90.00
_space_group_name_H-M_alt 'P 1'
_space_group_IT_number 1
loop_
_space_group_symop_operation_xyz
'x,y,z'
loop_
_atom_site_label
_atom_site_type_symbol
_atom_site_fract_x
_atom_site_fract_y
_atom_site_fract_z
Ir1 Ir 0.5000 0.0000 0.0000
Hf1 Hf 0.5000 0.5000 0.5000
Te1 Te 0.0000 0.0000 0.0000
Ir2 Ir 0.0000 0.5000 0.0000
Ir3 Ir 0.0000 0.0000 0.5000
```

Values from the calculation:
* formation energy from raw total energies: 1.244 eV per atom
* polymorph energy (0 for the lowest one): 0 meV per atom

***

HfV2TeIr after structural relaxation. Source: the Alexandria database, functional PBE-GGA.

```
data_HfV2TeIr
_cell_length_a 4.6822
_cell_length_b 5.1766
_cell_length_c 4.6822
_cell_angle_alpha 90.00
_cell_angle_beta 90.00
_cell_angle_gamma 90.00
_space_group_name_H-M_alt 'P 1'
_space_group_IT_number 1
loop_
_space_group_symop_operation_xyz
'x,y,z'
loop_
_atom_site_label
_atom_site_type_symbol
_atom_site_fract_x
_atom_site_fract_y
_atom_site_fract_z
V1 V 0.0000 0.0000 0.5000
Hf1 Hf 0.0000 0.5000 0.0000
Ir1 Ir 0.5000 0.5000 0.5000
Te1 Te 0.0000 0.0000 0.0000
V2 V 0.5000 0.0000 0.0000
```

Values from the calculation:
* formation energy from raw total energies: 1.419 eV per atom

***

HfZnTeIr2 after structural relaxation. Source: the Alexandria database, functional PBE-GGA.

```
data_HfZnTeIr2
_cell_length_a 4.5695
_cell_length_b 4.9229
_cell_length_c 4.5695
_cell_angle_alpha 90.00
_cell_angle_beta 90.00
_cell_angle_gamma 90.00
_space_group_name_H-M_alt 'P 1'
_space_group_IT_number 1
loop_
_space_group_symop_operation_xyz
'x,y,z'
loop_
_atom_site_label
_atom_site_type_symbol
_atom_site_fract_x
_atom_site_fract_y
_atom_site_fract_z
Ir1 Ir 0.0000 0.0000 0.5000
Zn1 Zn 0.0000 0.0000 0.0000
Ir2 Ir 0.5000 0.0000 0.0000
Te1 Te 0.5000 0.5000 0.5000
Hf1 Hf 0.0000 0.5000 0.0000
```

Values from the calculation:
* formation energy from raw total energies: 0.843 eV per atom

***

HfThIr after structural relaxation. Source: the Alexandria database, functional PBE-GGA.

```
data_HfThIr
_cell_length_a 4.5657
_cell_length_b 4.5658
_cell_length_c 6.9327
_cell_angle_alpha 89.99
_cell_angle_beta 89.99
_cell_angle_gamma 90.00
_space_group_name_H-M_alt 'P 1'
_space_group_IT_number 1
loop_
_space_group_symop_operation_xyz
'x,y,z'
loop_
_atom_site_label
_atom_site_type_symbol
_atom_site_fract_x
_atom_site_fract_y
_atom_site_fract_z
Th1 Th 0.4805 0.4929 0.2510
Hf1 Hf 0.4805 0.9929 0.8788
Ir1 Ir 0.4807 0.4930 0.6647
Ir2 Ir 0.9804 0.9927 0.0929
Hf2 Hf 0.9806 0.4928 0.8788
Th2 Th 0.9805 0.9929 0.5066
```

Values from the calculation:
* formation energy: -0.6752 eV per atom

***

HfThIr4 after structural relaxation. Source: the Alexandria database, functional PBE-GGA.

```
data_HfThIr4
_cell_length_a 5.3574
_cell_length_b 5.3574
_cell_length_c 5.3574
_cell_angle_alpha 60.00
_cell_angle_beta 60.00
_cell_angle_gamma 60.00
_space_group_name_H-M_alt 'P 1'
_space_group_IT_number 1
loop_
_space_group_symop_operation_xyz
'x,y,z'
loop_
_atom_site_label
_atom_site_type_symbol
_atom_site_fract_x
_atom_site_fract_y
_atom_site_fract_z
Th1 Th 0.2500 0.2500 0.2500
Ir1 Ir 0.6257 0.1230 0.6257
Ir2 Ir 0.6257 0.6257 0.1230
Ir3 Ir 0.1230 0.6257 0.6257
Hf1 Hf 0.0000 0.0000 0.0000
Ir4 Ir 0.6257 0.6257 0.6257
```

Values from the calculation:
* formation energy: -0.6767 eV per atom

***

HfTh2TiIr2 after structural relaxation. Source: the Alexandria database, functional PBE-GGA.

```
data_HfTh2TiIr2
_cell_length_a 6.3680
_cell_length_b 6.3573
_cell_length_c 8.1996
_cell_angle_alpha 112.84
_cell_angle_beta 112.85
_cell_angle_gamma 90.00
_space_group_name_H-M_alt 'P 1'
_space_group_IT_number 1
loop_
_space_group_symop_operation_xyz
'x,y,z'
loop_
_atom_site_label
_atom_site_type_symbol
_atom_site_fract_x
_atom_site_fract_y
_atom_site_fract_z
Ti1 Ti 0.5000 0.2500 0.0000
Ir1 Ir 0.1641 0.8975 0.7950
Hf1 Hf 0.0000 0.2500 0.0000
Hf2 Hf 0.0000 0.7500 0.0000
Ir2 Ir 0.8359 0.1025 0.2050
Ir3 Ir 0.6308 0.3975 0.7950
Ti2 Ti 0.5000 0.7500 0.0000
Th1 Th 0.0962 0.3164 0.6329
Th2 Th 0.4633 0.1836 0.3671
Th3 Th 0.5367 0.8164 0.6329
Th4 Th 0.9038 0.6836 0.3671
Ir4 Ir 0.3692 0.6025 0.2050
```

Values from the calculation:
* formation energy: -0.6701 eV per atom

***

HfThTiIr2 after structural relaxation. Source: the Alexandria database, functional PBE-GGA.

```
data_HfThTiIr2
_cell_length_a 4.3720
_cell_length_b 4.3720
_cell_length_c 6.3243
_cell_angle_alpha 110.22
_cell_angle_beta 110.22
_cell_angle_gamma 90.00
_space_group_name_H-M_alt 'P 1'
_space_group_IT_number 1
loop_
_space_group_symop_operation_xyz
'x,y,z'
loop_
_atom_site_label
_atom_site_type_symbol
_atom_site_fract_x
_atom_site_fract_y
_atom_site_fract_z
Hf1 Hf 0.7500 0.2500 0.5000
Ti1 Ti 0.2500 0.7500 0.5000
Ir1 Ir 0.6198 0.6198 0.2396
Ir2 Ir 0.3802 0.3802 0.7604
Th1 Th 0.0000 0.0000 0.0000
```

Values from the calculation:
* formation energy: -0.7907 eV per atom

***

HfTi2Ir2 after structural relaxation. Source: the Alexandria database, functional PBE-GGA.

```
data_HfTi2Ir2
_cell_length_a 7.4873
_cell_length_b 7.4873
_cell_length_c 3.0126
_cell_angle_alpha 90.00
_cell_angle_beta 90.00
_cell_angle_gamma 90.00
_space_group_name_H-M_alt 'P 1'
_space_group_IT_number 1
loop_
_space_group_symop_operation_xyz
'x,y,z'
loop_
_atom_site_label
_atom_site_type_symbol
_atom_site_fract_x
_atom_site_fract_y
_atom_site_fract_z
Hf1 Hf 0.0000 0.0000 0.0000
Ir1 Ir 0.1371 0.3629 0.0000
Ti1 Ti 0.6597 0.8403 0.5000
Ti2 Ti 0.1597 0.6597 0.5000
Ti3 Ti 0.3403 0.1597 0.5000
Ir2 Ir 0.3629 0.8629 0.0000
Hf2 Hf 0.5000 0.5000 0.0000
Ir3 Ir 0.8629 0.6371 0.0000
Ti4 Ti 0.8403 0.3403 0.5000
Ir4 Ir 0.6371 0.1371 0.0000
```

Values from the calculation:
* formation energy: -0.6414 eV per atom
* polymorph energy (0 for the lowest one): 0 meV per atom

***

HfTi3Ir after structural relaxation. Source: the Alexandria database, functional PBE-GGA.

```
data_HfTi3Ir
_cell_length_a 5.3400
_cell_length_b 5.5528
_cell_length_c 6.7521
_cell_angle_alpha 114.28
_cell_angle_beta 90.00
_cell_angle_gamma 90.00
_space_group_name_H-M_alt 'P 1'
_space_group_IT_number 1
loop_
_space_group_symop_operation_xyz
'x,y,z'
loop_
_atom_site_label
_atom_site_type_symbol
_atom_site_fract_x
_atom_site_fract_y
_atom_site_fract_z
Ti1 Ti 0.7500 0.1022 0.7078
Ti2 Ti 0.7500 0.1757 0.3514
Hf1 Hf 0.2500 0.4189 0.8378
Ir1 Ir 0.0000 0.0000 0.0000
Ti3 Ti 0.2500 0.8978 0.2922
Hf2 Hf 0.7500 0.5811 0.1622
Ir2 Ir 0.5000 0.0000 0.0000
Ti4 Ti 0.2500 0.3943 0.2922
Ti5 Ti 0.7500 0.6057 0.7078
Ti6 Ti 0.2500 0.8243 0.6486
```

Values from the calculation:
* formation energy: -0.2189 eV per atom
* polymorph energy (0 for the lowest one): 0 meV per atom

***

Hf6TiIr5 after structural relaxation. Source: the Alexandria database, functional PBE-GGA.

```
data_Hf6TiIr5
_cell_length_a 4.5859
_cell_length_b 6.7381
_cell_length_c 8.0054
_cell_angle_alpha 114.89
_cell_angle_beta 106.64
_cell_angle_gamma 90.00
_space_group_name_H-M_alt 'P 1'
_space_group_IT_number 1
loop_
_space_group_symop_operation_xyz
'x,y,z'
loop_
_atom_site_label
_atom_site_type_symbol
_atom_site_fract_x
_atom_site_fract_y
_atom_site_fract_z
Ir1 Ir 0.3408 0.8408 0.6815
Ir2 Ir 0.3271 0.3271 0.6541
Hf1 Hf 0.1682 0.9148 0.3364
Hf2 Hf 0.1682 0.4216 0.3364
Ir3 Ir 0.6592 0.1592 0.3185
Hf3 Hf 0.8318 0.5784 0.6636
Hf4 Hf 0.8318 0.0852 0.6636
Ir4 Ir 0.6729 0.6729 0.3459
Hf5 Hf 0.5000 0.7438 0.0000
Ti1 Ti 0.0000 0.0000 0.0000
Ir5 Ir 0.0000 0.5000 0.0000
Hf6 Hf 0.5000 0.2562 0.0000
```

Values from the calculation:
* formation energy: -0.7917 eV per atom

***

HfTi2Ir after structural relaxation. Source: the Alexandria database, functional PBE-GGA.

```
data_HfTi2Ir
_cell_length_a 3.1229
_cell_length_b 3.1229
_cell_length_c 7.0370
_cell_angle_alpha 90.00
_cell_angle_beta 90.00
_cell_angle_gamma 90.00
_space_group_name_H-M_alt 'P 1'
_space_group_IT_number 1
loop_
_space_group_symop_operation_xyz
'x,y,z'
loop_
_atom_site_label
_atom_site_type_symbol
_atom_site_fract_x
_atom_site_fract_y
_atom_site_fract_z
Hf1 Hf 0.5000 0.5000 0.5000
Ti1 Ti 0.0000 0.0000 0.7789
Ir1 Ir 0.5000 0.5000 0.0000
Ti2 Ti 0.0000 0.0000 0.2211
```

Values from the calculation:
* formation energy: -0.4515 eV per atom
* polymorph energy (0 for the lowest one): 98 meV per atom

***

HfTi2Ir after structural relaxation. Source: the Alexandria database, functional PBE-GGA.

```
data_HfTi2Ir
_cell_length_a 4.5395
_cell_length_b 4.5395
_cell_length_c 4.5395
_cell_angle_alpha 60.00
_cell_angle_beta 60.00
_cell_angle_gamma 60.00
_space_group_name_H-M_alt 'P 1'
_space_group_IT_number 1
loop_
_space_group_symop_operation_xyz
'x,y,z'
loop_
_atom_site_label
_atom_site_type_symbol
_atom_site_fract_x
_atom_site_fract_y
_atom_site_fract_z
Ti1 Ti 0.2500 0.2500 0.2500
Ti2 Ti 0.7500 0.7500 0.7500
Hf1 Hf 0.0000 0.0000 0.0000
Ir1 Ir 0.5000 0.5000 0.5000
```

Values from the calculation:
* formation energy: -0.3869 eV per atom
* polymorph energy (0 for the lowest one): 163 meV per atom

***

Let's list energy in order: -81.0, -99.1, -61.1, -36.2, -42.6, -40.3, -88.4, -32.8, -33.5, -33.1, -27.9, -56.5, -56.9, -108.9, -46.9, -93.3, -87.2, -121.4, -36.4, -36.2 eV/cell.